! DyHoCu2Ge2, relaxed, DFT GGA-PBE; values from VASP
&SYSTEM
  ibrav = 0, nat = 6, ntyp = 4
/
ATOMIC_SPECIES
Dy 162.50 Dy.upf
Ho 164.93 Ho.upf
Cu 63.55 Cu.upf
Ge 72.64 Ge.upf
CELL_PARAMETERS angstrom
4.234 0.000 0.000
-2.117 3.667 0.000
0.000 0.000 7.380
ATOMIC_POSITIONS angstrom
Dy 0.000 0.000 0.000
Ho 0.000 0.000 3.690
Cu 0.000 2.445 5.514
Cu 2.117 1.222 1.866
Ge 0.000 2.445 1.853
Ge 2.117 1.222 5.528
! ΔH_f (0 K) = -0.686 eV/atom
! Final energy = -0.3763 Ry/atom
! Crystal system = trigonal
! Total moment = 0.0 μB/f.u.

***

! DyHoCuGe, relaxed, DFT GGA-PBE; values from VASP
&SYSTEM
  ibrav = 0, nat = 4, ntyp = 4
/
ATOMIC_SPECIES
Ge 72.64 Ge.upf
Ho 164.93 Ho.upf
Cu 63.55 Cu.upf
Dy 162.50 Dy.upf
CELL_PARAMETERS angstrom
4.956 0.000 0.000
2.478 4.292 0.000
2.478 1.431 4.047
ATOMIC_POSITIONS angstrom
Ge 2.478 1.431 1.012
Ho 0.000 0.000 0.000
Cu 7.434 4.292 3.035
Dy 4.956 2.861 2.023
! ΔH_f (0 K) = -0.499 eV/atom
! Final energy = -0.3655 Ry/atom
! Crystal system = cubic
! Total moment = 0.0 μB/f.u.

***

! Dy2CuGe4Ir3, relaxed, DFT GGA-PBE; values from VASP
&SYSTEM
  ibrav = 0, nat = 10, ntyp = 4
/
ATOMIC_SPECIES
Dy 162.50 Dy.upf
Cu 63.55 Cu.upf
Ge 72.64 Ge.upf
Ir 192.22 Ir.upf
CELL_PARAMETERS angstrom
-0.134 -1.538 3.923
-1.306 -3.717 -1.502
9.659 -3.045 -0.863
ATOMIC_POSITIONS angstrom
Dy 2.301 -1.516 1.750
Dy 6.638 -4.157 -1.402
Cu 4.110 -4.150 0.779
Ge -0.720 -2.627 1.211
Ge 0.000 0.000 0.000
Ge 6.034 -2.692 1.417
Ge 2.905 -2.980 -1.069
Ir 4.830 -1.522 -0.431
Ir 8.337 -3.418 1.211
Ir 0.602 -2.254 -0.863
! ΔH_f (0 K) = -0.655 eV/atom
! Final energy = -0.4771 Ry/atom
! Crystal system = tetragonal
! Total moment = 0.0 μB/f.u.

***

! LaDy2Cu2Ge2, relaxed, DFT GGA-PBE; values from VASP
&SYSTEM
  ibrav = 0, nat = 7, ntyp = 4
/
ATOMIC_SPECIES
La 138.91 La.upf
Dy 162.50 Dy.upf
Cu 63.55 Cu.upf
Ge 72.64 Ge.upf
CELL_PARAMETERS angstrom
4.347 0.000 0.000
2.174 3.765 0.000
2.174 1.255 9.464
ATOMIC_POSITIONS angstrom
La 0.000 0.000 0.000
Dy 2.174 1.255 5.825
Dy 6.521 3.765 3.639
Cu 4.347 2.510 2.116
Cu 4.347 2.510 7.348
Ge 6.521 3.765 7.347
Ge 2.174 1.255 2.118
! ΔH_f (0 K) = -0.509 eV/atom
! Final energy = -0.3688 Ry/atom
! Crystal system = trigonal
! Total moment = 0.0 μB/f.u.

***

! LaDyCuGe, relaxed, DFT GGA-PBE; values from VASP
&SYSTEM
  ibrav = 0, nat = 4, ntyp = 4
/
ATOMIC_SPECIES
Ge 72.64 Ge.upf
La 138.91 La.upf
Cu 63.55 Cu.upf
Dy 162.50 Dy.upf
CELL_PARAMETERS angstrom
-1.725 -0.148 4.814
-0.086 -4.434 2.551
3.260 -0.793 3.863
ATOMIC_POSITIONS angstrom
Ge 0.362 -1.344 2.807
La 0.724 -2.688 5.614
Cu 1.086 -4.032 8.421
Dy 0.000 0.000 0.000
! ΔH_f (0 K) = -0.469 eV/atom
! Final energy = -0.3697 Ry/atom
! Crystal system = cubic
! Total moment = 0.0 μB/f.u.

***

! LiDyCu2Ge2, relaxed, DFT GGA-PBE; values from VASP
&SYSTEM
  ibrav = 0, nat = 6, ntyp = 4
/
ATOMIC_SPECIES
Li 6.94 Li.upf
Dy 162.50 Dy.upf
Cu 63.55 Cu.upf
Ge 72.64 Ge.upf
CELL_PARAMETERS angstrom
4.169 0.000 0.000
-2.084 3.610 0.000
0.000 0.000 6.586
ATOMIC_POSITIONS angstrom
Li 0.000 0.000 3.293
Dy 0.000 0.000 0.000
Cu 0.000 2.407 4.431
Cu 2.084 1.203 2.155
Ge 0.000 2.407 1.813
Ge 2.084 1.203 4.773
! ΔH_f (0 K) = -0.477 eV/atom
! Final energy = -0.3284 Ry/atom
! Crystal system = trigonal
! Total moment = 0.0 μB/f.u.

***

! LiDyCuGe, relaxed, DFT GGA-PBE; values from VASP
&SYSTEM
  ibrav = 0, nat = 4, ntyp = 4
/
ATOMIC_SPECIES
Ge 72.64 Ge.upf
Li 6.94 Li.upf
Cu 63.55 Cu.upf
Dy 162.50 Dy.upf
CELL_PARAMETERS angstrom
4.701 0.000 0.000
2.351 4.071 0.000
2.351 1.357 3.838
ATOMIC_POSITIONS angstrom
Ge 2.351 1.357 0.960
Li 0.000 0.000 0.000
Cu 7.052 4.071 2.879
Dy 4.701 2.714 1.919
! ΔH_f (0 K) = -0.388 eV/atom
! Final energy = -0.3084 Ry/atom
! Crystal system = cubic
! Total moment = 0.0 μB/f.u.

***

! LiDyCuGe2, relaxed, DFT GGA-PBE; values from VASP
&SYSTEM
  ibrav = 0, nat = 5, ntyp = 4
/
ATOMIC_SPECIES
Li 6.94 Li.upf
Dy 162.50 Dy.upf
Cu 63.55 Cu.upf
Ge 72.64 Ge.upf
CELL_PARAMETERS angstrom
-3.969 0.734 0.101
-0.732 -3.970 0.071
2.499 1.686 5.234
ATOMIC_POSITIONS angstrom
Li -1.910 0.401 2.711
Dy 0.000 0.000 0.000
Cu -0.292 -1.951 2.696
Ge -2.316 -1.602 1.322
Ge 0.114 0.052 4.084
! ΔH_f (0 K) = -0.556 eV/atom
! Final energy = -0.3326 Ry/atom
! Crystal system = tetragonal
! Total moment = 0.0 μB/f.u.

***

! DyMgCu2Ge2, relaxed, DFT GGA-PBE; values from VASP
&SYSTEM
  ibrav = 0, nat = 6, ntyp = 4
/
ATOMIC_SPECIES
Dy 162.50 Dy.upf
Mg 24.30 Mg.upf
Cu 63.55 Cu.upf
Ge 72.64 Ge.upf
CELL_PARAMETERS angstrom
-3.124 -2.689 0.870
2.508 -0.686 -3.315
4.213 -3.619 3.937
ATOMIC_POSITIONS angstrom
Dy 2.107 -1.810 1.969
Mg 0.000 0.000 0.000
Cu 4.006 -4.254 1.235
Cu -0.409 -2.741 0.258
Ge 1.659 -2.237 -0.959
Ge 1.938 -4.757 2.452
! ΔH_f (0 K) = -0.470 eV/atom
! Final energy = -0.3239 Ry/atom
! Crystal system = trigonal
! Total moment = 0.0 μB/f.u.

***

! DyMgCuGe, relaxed, DFT GGA-PBE; values from VASP
&SYSTEM
  ibrav = 0, nat = 4, ntyp = 4
/
ATOMIC_SPECIES
Ge 72.64 Ge.upf
Mg 24.30 Mg.upf
Cu 63.55 Cu.upf
Dy 162.50 Dy.upf
CELL_PARAMETERS angstrom
4.792 0.000 0.000
2.396 4.150 0.000
2.396 1.383 3.912
ATOMIC_POSITIONS angstrom
Ge 2.396 1.383 0.978
Mg 4.792 2.766 1.956
Cu 7.187 4.150 2.934
Dy 0.000 0.000 0.000
! ΔH_f (0 K) = -0.377 eV/atom
! Final energy = -0.3017 Ry/atom
! Crystal system = cubic
! Total moment = 0.0 μB/f.u.

***

! DyMnCuGe2, relaxed, DFT GGA-PBE; values from VASP
&SYSTEM
  ibrav = 0, nat = 5, ntyp = 4
/
ATOMIC_SPECIES
Dy 162.50 Dy.upf
Mn 54.94 Mn.upf
Cu 63.55 Cu.upf
Ge 72.64 Ge.upf
CELL_PARAMETERS angstrom
-0.415 -3.771 1.421
3.973 -0.622 -0.489
-0.897 3.955 4.462
ATOMIC_POSITIONS angstrom
Dy 0.000 0.000 0.000
Mn 0.233 -1.006 3.174
Cu 2.427 0.569 2.219
Ge 1.987 -1.780 1.630
Ge 0.673 1.344 3.763
! ΔH_f (0 K) = -0.454 eV/atom
! Final energy = -0.4318 Ry/atom
! Crystal system = tetragonal
! Total moment = 3.3 μB/f.u.

***

! NdDy2Cu2Ge2, relaxed, DFT GGA-PBE; values from VASP
&SYSTEM
  ibrav = 0, nat = 7, ntyp = 4
/
ATOMIC_SPECIES
Nd 144.24 Nd.upf
Dy 162.50 Dy.upf
Cu 63.55 Cu.upf
Ge 72.64 Ge.upf
CELL_PARAMETERS angstrom
4.319 0.000 0.000
2.159 3.740 0.000
2.159 1.247 9.416
ATOMIC_POSITIONS angstrom
Nd 0.000 0.000 0.000
Dy 2.159 1.247 5.823
Dy 6.478 3.740 3.594
Cu 4.319 2.493 2.002
Cu 4.319 2.493 7.414
Ge 6.478 3.740 7.369
Ge 2.159 1.247 2.047
! ΔH_f (0 K) = -0.494 eV/atom
! Final energy = -0.3660 Ry/atom
! Crystal system = trigonal
! Total moment = 0.0 μB/f.u.